Material: Ca5GeSe6
Method: DFT, PBE
State: optimized geometry

Summary:
Raw formation energy in meV per atom: -1706
Total energy in eV/atom: -4.667
Total moment in μB per cell: 0.00

a = 7.259 Å, b = 7.261 Å, c = 7.261 Å
α = 60.00°, β = 80.40°, γ = 70.51°
Positions (direct):
Ca: 0.500 0.166 0.668
Ca: 0.000 0.333 0.334
Ca: 0.500 0.500 0.000
Ca: 0.000 0.667 0.666
Ca: 0.500 0.834 0.332
Ge: 0.000 0.000 0.000
Se: 0.753 0.082 0.327
Se: 0.247 0.590 0.327
Se: 0.246 0.246 0.000
Se: 0.754 0.754 0.000
Se: 0.753 0.410 0.673
Se: 0.247 0.918 0.673

=====

Material: SrY2Sb
Method: DFT, PBE
State: optimized geometry

Summary:
Raw formation energy in meV per atom: -233
Total energy in eV/atom: -4.917
Total moment in μB per cell: 0.00

a = 6.776 Å, b = 6.776 Å, c = 3.542 Å
α = 76.14°, β = 76.14°, γ = 117.64°
Positions (direct):
Sb: 0.500 0.000 0.500
Sr: 0.000 0.500 0.500
Y: 0.000 0.000 0.000
Y: 0.500 0.500 0.000

=====

- The lowest total energy belongs to which entry?
  SrY2Sb

=====

What did the second record say?
Material: SrY2Sb
Method: DFT, PBE
State: optimized geometry

Summary:
Raw formation energy in meV per atom: -233
Total energy in eV/atom: -4.917
Total moment in μB per cell: 0.00

a = 6.776 Å, b = 6.776 Å, c = 3.542 Å
α = 76.14°, β = 76.14°, γ = 117.64°
Positions (direct):
Sb: 0.500 0.000 0.500
Sr: 0.000 0.500 0.500
Y: 0.000 0.000 0.000
Y: 0.500 0.500 0.000